# 1
NbAlHg3 (PBE-GGA, relaxed); formation energy = 5.0 eV/f.u.
1.0
4.955 0.000 0.000
0.000 4.955 0.000
0.000 0.000 4.955
Nb Al Hg
1 1 3
Direct
0.000 0.000 0.000
0.500 0.500 0.500
0.000 0.500 0.500
0.500 0.000 0.500
0.500 0.500 0.000

=====

# 2
DyZnHgPd (PBE-GGA, relaxed); formation energy = -1.9 eV/f.u.
1.0
0.000 3.420 3.420
3.420 0.000 3.420
3.420 3.420 0.000
Dy Zn Hg Pd
1 1 1 1
Direct
0.000 0.000 0.000
0.500 0.500 0.500
0.750 0.750 0.750
0.250 0.250 0.250

=====

# 3
Ta2CuBr (PBE-GGA, relaxed); ΔE_f (raw) = 0.452 eV/atom
1.0
1.508 0.870 8.820
-1.508 0.870 8.820
0.000 -1.741 8.820
Ta Cu Br
2 1 1
Direct
0.248 0.248 0.248
0.752 0.752 0.752
0.500 0.500 0.500
0.000 0.000 0.000

=====

# 4
The following is a DFT calculation (PBE-GGA) of a geometry-optimized Sr2PH structure.

```
Sr2PH
1.0
5.067 0.000 0.000
0.000 5.067 0.000
0.000 0.000 3.690
Sr P H
2 1 1
Direct
0.000 0.500 0.000
0.500 0.000 0.000
0.000 0.000 0.500
0.500 0.500 0.500
```

=====

# 5
EuHoCu2 (PBE-GGA, relaxed); formation energy = -0.7 eV/f.u.
1.0
3.544 0.000 0.000
0.000 3.544 0.000
0.000 0.000 7.105
Eu Ho Cu
1 1 2
Direct
0.000 0.000 0.000
0.000 0.000 0.500
0.500 0.500 0.290
0.500 0.500 0.710

=====

# 6
SrLi2W (PBE-GGA, relaxed); formation energy = 3.3 eV/f.u.
1.0
5.117 -1.417 0.000
5.117 1.417 0.000
-0.456 0.000 5.950
Sr Li W
1 2 1
Direct
0.000 0.000 0.000
0.240 0.240 0.685
0.760 0.760 0.315
0.500 0.500 0.500

=====

# 7
RbTl2PBr (PBE-GGA, relaxed); ΔE_f (raw) = 0.178 eV/atom
1.0
6.043 0.000 0.000
0.000 6.043 0.000
0.000 0.000 5.390
Rb Tl P Br
1 2 1 1
Direct
0.000 0.000 0.000
0.000 0.500 0.500
0.500 0.000 0.500
0.500 0.500 0.000
0.500 0.500 0.500

=====

# 8
PmZrPt (PBE-GGA, relaxed); formation energy = -2.3 eV/f.u.
1.0
3.779 0.000 0.000
0.000 4.741 0.000
0.000 0.000 8.001
Pm Zr Pt
2 2 2
Direct
0.250 0.250 0.145
0.750 0.750 0.855
0.250 0.750 0.478
0.750 0.250 0.522
0.250 0.250 0.771
0.750 0.750 0.229

=====

# 9
Ce2InGaOs (PBE-GGA, relaxed); formation energy = -1.6 eV/f.u.
1.0
7.550 0.000 0.000
0.000 4.289 0.000
-2.383 0.000 7.476
Ce In Ga Os
4 2 2 2
Direct
0.121 0.250 0.336
0.284 0.250 0.967
0.716 0.750 0.033
0.879 0.750 0.664
0.321 0.750 0.661
0.679 0.250 0.339
0.445 0.750 0.329
0.555 0.250 0.671
0.125 0.750 0.098
0.875 0.250 0.902

=====

# 10
CuGePtO6 (PBE-GGA, relaxed); ΔE_f (raw) = -0.693 eV/atom
1.0
5.060 0.000 0.000
-2.530 4.382 0.000
0.000 0.000 8.601
Cu Ge Pt O
2 2 2 12
Direct
0.000 0.000 0.000
0.000 0.000 0.500
0.333 0.667 0.250
0.667 0.333 0.750
0.333 0.667 0.750
0.667 0.333 0.250
0.010 0.356 0.128
0.010 0.654 0.372
0.346 0.356 0.372
0.346 0.990 0.128
0.356 0.010 0.628
0.356 0.346 0.872
0.644 0.654 0.128
0.644 0.990 0.372
0.654 0.010 0.872
0.654 0.644 0.628
0.990 0.346 0.628
0.990 0.644 0.872

=====

Number 1: raw total energy -1.945 eV per atom. Number 2: raw total energy -3.312 eV per atom. Number 3: raw total energy -6.917 eV per atom. Number 4: raw total energy -3.632 eV per atom. Number 5: raw total energy -5.936 eV per atom. Number 6: raw total energy -3.778 eV per atom. Number 7: raw total energy -2.379 eV per atom. Number 8: raw total energy -7.226 eV per atom. Number 9: raw total energy -6.100 eV per atom. Number 10: raw total energy -5.638 eV per atom.